(1)
Entry from the Alexandria database: a relaxed structure of BPbAu (PBE-GGA).

Structure (extended XYZ):
```
12
Lattice="9.343 0.000 0.000 0.000 3.392 0.000 0.000 0.000 8.052" Properties=species:S:1:pos:R:3 pbc="T T T"
Pb 6.307 0.848 7.914
B 4.862 2.544 6.441
B 4.481 0.848 1.611
Au 0.103 0.848 6.913
B 9.152 0.848 2.415
Pb 3.036 2.544 0.137
Au 4.775 0.848 5.164
Pb 7.708 2.544 3.889
B 0.191 2.544 5.636
Pb 1.636 0.848 4.163
Au 4.569 2.544 2.887
Au 9.240 2.544 1.139
```

Properties
VASP energy	-3.949	eV per atom
M_tot	0.00	μB/f.u.

***

(2)
Entry from the Alexandria database: a relaxed structure of B2PbAu (PBE-GGA).

Structure (extended XYZ):
```
8
Lattice="-2.691 -1.580 -2.866 2.896 0.579 -3.038 2.851 -7.508 -1.668" Properties=species:S:1:pos:R:3 pbc="T T T"
Pb 0.000 0.000 0.000
Pb 0.131 -4.794 -3.743
B 1.593 -6.652 -5.656
B 1.513 -2.108 -3.391
Au 2.924 -3.715 -3.829
B 2.940 -5.861 -4.225
B 0.066 -2.397 -1.871
Au 0.103 -0.501 -2.952
```

Properties
VASP energy	-4.183	eV per atom
M_tot	0.00	μB/f.u.

***

(3)
Entry from the Alexandria database: a relaxed structure of BPbAu (PBE-GGA).

Structure (extended XYZ):
```
6
Lattice="-0.943 1.531 -2.453 -0.722 -2.623 -1.360 -10.922 0.629 4.589" Properties=species:S:1:pos:R:3 pbc="T T T"
Pb -9.045 -0.811 2.969
Au -6.849 1.133 1.453
B 0.000 0.000 0.000
Au -4.906 -1.050 1.230
B -0.833 -0.546 -1.906
Pb -2.710 0.895 -0.286
```

Properties
VASP energy	-3.767	eV per atom
M_tot	0.00	μB/f.u.

***

(4)
Entry from the Alexandria database: a relaxed structure of BPbAu (PBE-GGA).

Structure (extended XYZ):
```
12
Lattice="-2.993 -3.173 -7.025 1.156 -2.915 0.824 -8.028 -1.964 4.307" Properties=species:S:1:pos:R:3 pbc="T T T"
Au -4.790 -5.413 -2.860
B -5.511 -2.569 -1.359
Pb -7.057 -5.255 0.874
B 0.578 -1.458 0.412
B 0.000 0.000 0.000
B -4.933 -4.026 -0.947
Au -9.354 -4.908 -1.053
Pb -2.808 -2.797 -2.767
Pb -7.519 -6.589 -3.194
Au -5.075 -2.640 0.966
Pb -2.346 -1.464 1.300
Au -0.511 -3.145 -0.840
```

Properties
VASP energy	-4.254	eV per atom
M_tot	0.00	μB/f.u.

***

(5)
Entry from the Alexandria database: a relaxed structure of B2PbAu2 (PBE-GGA).

Structure (extended XYZ):
```
10
Lattice="-1.707 -2.198 7.201 7.424 -1.718 1.236 0.487 2.801 0.970" Properties=species:S:1:pos:R:3 pbc="T T T"
B 6.110 -1.454 5.781
B 4.396 0.240 1.753
Au 5.630 -2.173 3.448
Au 0.087 -1.743 4.988
B 0.093 0.338 3.626
B 1.808 -1.355 7.654
Au 2.210 -0.938 1.599
Au 3.507 -2.978 6.837
Pb 2.858 -1.958 4.218
Pb 0.000 0.000 0.000
```

Properties
energy above the most stable polymorph in this dataset	435.9	meV per atom
VASP energy	-3.606	eV per atom
M_tot	0.00	μB/f.u.

***

(6)
Entry from the Alexandria database: a relaxed structure of BPbAu (PBE-GGA).

Structure (extended XYZ):
```
6
Lattice="-0.341 -1.550 2.997 3.250 -0.958 -0.126 2.696 8.525 4.716" Properties=species:S:1:pos:R:3 pbc="T T T"
Pb 2.140 6.530 5.539
Au 3.360 5.007 2.971
B 2.803 3.009 3.793
B 1.348 4.263 2.358
Au 0.791 2.264 3.180
Pb 2.011 0.741 0.612
```

Properties
VASP energy	-4.001	eV per atom
M_tot	0.00	μB/f.u.

***

(7)
Entry from the Alexandria database: a relaxed structure of BPd2PbAu (PBE-GGA).

Structure (extended XYZ):
```
5
Lattice="4.399 0.000 0.000 0.000 4.399 0.000 0.000 0.000 4.405" Properties=species:S:1:pos:R:3 pbc="T T T"
Au 0.000 0.000 2.203
Pd 0.000 2.199 0.000
Pb 2.199 2.199 2.203
Pd 2.199 0.000 0.000
B 0.000 0.000 0.000
```

Properties
VASP energy	-4.836	eV per atom
M_tot	0.00	μB/f.u.

***

(8)
Entry from the Alexandria database: a relaxed structure of BPt2PbAu (PBE-GGA).

Structure (extended XYZ):
```
5
Lattice="-4.247 0.088 0.741 0.160 -4.075 1.400 0.793 1.529 4.362" Properties=species:S:1:pos:R:3 pbc="T T T"
Pt -2.123 0.044 0.371
Au 0.396 0.765 2.181
Pb -1.647 -1.229 3.251
B 0.000 0.000 0.000
Pt 0.080 -2.038 0.700
```

Properties
VASP energy	-5.139	eV per atom
M_tot	0.00	μB/f.u.

***

What did the sixth record say?
Entry from the Alexandria database: a relaxed structure of BPbAu (PBE-GGA).

Structure (extended XYZ):
```
6
Lattice="-0.341 -1.550 2.997 3.250 -0.958 -0.126 2.696 8.525 4.716" Properties=species:S:1:pos:R:3 pbc="T T T"
Pb 2.140 6.530 5.539
Au 3.360 5.007 2.971
B 2.803 3.009 3.793
B 1.348 4.263 2.358
Au 0.791 2.264 3.180
Pb 2.011 0.741 0.612
```

Properties
VASP energy	-4.001	eV per atom
M_tot	0.00	μB/f.u.

***

- Which formula does entry 4 have?
  BPbAu